4
Lattice="0.000 3.683 3.683 3.683 0.000 3.683 3.683 3.683 0.000" Properties=species:S:1:pos:R:3 comment="CaAcRhPb | the Alexandria database | PBE-GGA | relaxed" delta_e_f_ev_per_atom=-0.36 total_energy_ev_per_atom=-4.648 pbc="T T T"
Ca 0.000 0.000 0.000
Ac 5.525 5.525 5.525
Rh 3.683 3.683 3.683
Pb 1.842 1.842 1.842